No. 1
Compound: Li4NbCo3O8
Source: the Alexandria database
Functional: SCAN
Structure: PBEsol geometry

CIF file:
```
data_Li4NbCo3O8
_chemical_formula_sum 'Li8 Nb2 Co6 O16'
_symmetry_space_group_name_H-M 'P 1'
_symmetry_Int_Tables_number 1
_cell_length_a 5.740
_cell_length_b 5.687
_cell_length_c 10.316
_cell_angle_alpha 73.12
_cell_angle_beta 73.85
_cell_angle_gamma 59.69
loop_
_symmetry_equiv_pos_as_xyz
'x,y,z'
loop_
_atom_site_label
_atom_site_fract_x
_atom_site_fract_y
_atom_site_fract_z
_atom_site_occupancy
Co1 0.000 0.500 0.500 1
O1 0.629 0.631 0.118 1
Li1 0.252 0.762 0.749 1
O2 0.403 0.872 0.873 1
O3 0.622 0.131 0.618 1
Co2 0.500 0.500 0.500 1
Co3 0.000 0.000 0.000 1
Co4 0.000 0.500 0.000 1
O4 0.371 0.369 0.882 1
O5 0.378 0.869 0.382 1
Li2 0.748 0.238 0.251 1
O6 0.869 0.867 0.904 1
O7 0.891 0.863 0.375 1
Nb1 0.500 0.500 0.000 1
O8 0.131 0.133 0.096 1
O9 0.597 0.128 0.127 1
O10 0.109 0.137 0.625 1
O11 0.148 0.628 0.627 1
Li3 0.253 0.750 0.250 1
Co5 0.500 0.000 0.000 1
Li4 0.747 0.250 0.750 1
Li5 0.763 0.738 0.751 1
Co6 0.500 0.000 0.500 1
Nb2 0.000 0.000 0.500 1
Li6 0.752 0.750 0.250 1
O12 0.852 0.372 0.373 1
O13 0.360 0.367 0.404 1
O14 0.640 0.633 0.596 1
O15 0.871 0.363 0.875 1
Li7 0.248 0.250 0.750 1
Li8 0.237 0.262 0.249 1
O16 0.129 0.637 0.125 1
```

Summary:
The value obtained for the energy relative to the lowest polymorph listed for this composition is 0.091 eV/f.u. Its space group is No. 15. The uncorrected formation energy is -1962 meV per atom.

=====

No. 2
Compound: Mg2AlAg
Source: the Alexandria database
Functional: SCAN
Structure: PBEsol geometry

CIF file:
```
data_Mg2AlAg
_chemical_formula_sum 'Mg2 Al1 Ag1'
_symmetry_space_group_name_H-M 'P 1'
_symmetry_Int_Tables_number 1
_cell_length_a 3.117
_cell_length_b 4.490
_cell_length_c 5.555
_cell_angle_alpha 90.00
_cell_angle_beta 105.60
_cell_angle_gamma 90.00
loop_
_symmetry_equiv_pos_as_xyz
'x,y,z'
loop_
_atom_site_label
_atom_site_fract_x
_atom_site_fract_y
_atom_site_fract_z
_atom_site_occupancy
Mg1 0.712 0.500 0.292 1
Mg2 0.039 0.000 0.960 1
Ag1 0.310 0.000 0.490 1
Al1 0.439 0.500 0.757 1
```

Summary:
Its space group is No. 6. As for the formation energy: -0.1434 eV/atom.

=====

No. 3
Compound: Te2MoW2S4
Source: the Alexandria database
Functional: SCAN
Structure: PBEsol geometry

CIF file:
```
data_Te2MoW2S4
_chemical_formula_sum 'Te2 Mo1 W2 S4'
_symmetry_space_group_name_H-M 'P 1'
_symmetry_Int_Tables_number 1
_cell_length_a 3.248
_cell_length_b 3.248
_cell_length_c 20.449
_cell_angle_alpha 90.00
_cell_angle_beta 90.00
_cell_angle_gamma 120.00
loop_
_symmetry_equiv_pos_as_xyz
'x,y,z'
loop_
_atom_site_label
_atom_site_fract_x
_atom_site_fract_y
_atom_site_fract_z
_atom_site_occupancy
W1 0.000 0.000 0.342 1
Te1 0.667 0.333 0.066 1
Te2 0.667 0.333 0.879 1
S1 0.667 0.333 0.267 1
W2 0.667 0.333 0.645 1
Mo1 0.000 0.000 0.972 1
S2 0.000 0.000 0.720 1
S3 0.000 0.000 0.570 1
S4 0.667 0.333 0.417 1
```

Summary:
Its space group is No. 156. The uncorrected formation energy is -577 meV per atom.